1.
# CsRb2Na2Se2

A geometry-optimized CsRb2Na2Se2 structure (GGA-PBE, the Alexandria database).

DOS at the Fermi energy = 1.7 states/eV/cell
Raw formation energy = -874 meV per atom
Symmetry = R-3m
Electronic total energy = -18.5 eV for the cell shown

Cell lengths 14.594, 14.594, 14.594 Å; angles 19.58, 19.58, 19.58 degrees
Atoms (fractional coordinates):
1 Cs 0.000 0.000 0.000
2 Rb 0.116 0.116 0.116
3 Rb 0.884 0.884 0.884
4 Na 0.394 0.394 0.394
5 Na 0.606 0.606 0.606
6 Se 0.273 0.273 0.273
7 Se 0.727 0.727 0.727



2.
# PuAl7Cu12

A geometry-optimized PuAl7Cu12 structure (GGA-PBE, the Alexandria database).

DOS at the Fermi energy = 15.1 states/eV/cell
Energy of formation from the pure elements = -0.07 eV per atom
Symmetry = R-3m
Electronic total energy = -91.1 eV for the cell shown

Cell lengths 7.551, 7.551, 7.551 Å; angles 112.38, 112.38, 112.38 degrees
Atoms (fractional coordinates):
1 Pu 0.000 0.000 0.000
2 Al 0.195 0.195 0.542
3 Al 0.195 0.542 0.195
4 Al 0.458 0.805 0.805
5 Al 0.500 0.500 0.500
6 Al 0.542 0.195 0.195
7 Al 0.805 0.458 0.805
8 Al 0.805 0.805 0.458
9 Cu 0.000 0.271 0.729
10 Cu 0.000 0.729 0.271
11 Cu 0.055 0.393 0.393
12 Cu 0.271 0.000 0.729
13 Cu 0.271 0.729 0.000
14 Cu 0.393 0.055 0.393
15 Cu 0.393 0.393 0.055
16 Cu 0.607 0.607 0.945
17 Cu 0.607 0.945 0.607
18 Cu 0.729 0.000 0.271
19 Cu 0.729 0.271 0.000
20 Cu 0.945 0.607 0.607



3.
# RuWAu

A geometry-optimized RuWAu structure (GGA-PBE, the Alexandria database).

DOS at the Fermi energy = 3.9 states/eV/cell
Excess energy over the best structure of this formula in the dataset = 0 meV per atom
Energy of formation from the pure elements = 0.20 eV per atom
Symmetry = Imm2
Electronic total energy = -49.8 eV for the cell shown

Cell lengths 2.871, 3.851, 8.567 Å; angles 90.00, 90.00, 90.00 degrees
Atoms (fractional coordinates):
1 Ru 0.000 0.000 0.000
2 Ru 0.500 0.500 0.500
3 W 0.000 0.000 0.648
4 W 0.500 0.500 0.148
5 Au 0.000 0.000 0.324
6 Au 0.500 0.500 0.824



4.
# Li2Pb2Cl7

A geometry-optimized Li2Pb2Cl7 structure (GGA-PBE, the Alexandria database).

DOS at the Fermi energy = 14.0 states/eV/cell
Raw formation energy = -1150 meV per atom
Symmetry = Cmmm
Electronic total energy = -36.8 eV for the cell shown

Cell lengths 7.629, 7.629, 7.146 Å; angles 90.00, 90.00, 118.71 degrees
Atoms (fractional coordinates):
1 Li 0.214 0.214 0.000
2 Li 0.786 0.786 0.000
3 Pb 0.182 0.818 0.500
4 Pb 0.818 0.182 0.500
5 Cl 0.000 0.000 0.245
6 Cl 0.000 0.000 0.755
7 Cl 0.000 0.500 0.245
8 Cl 0.000 0.500 0.755
9 Cl 0.500 0.000 0.245
10 Cl 0.500 0.000 0.755
11 Cl 0.500 0.500 0.000



5.
# LiBiS2Cl

A geometry-optimized LiBiS2Cl structure (GGA-PBE, the Alexandria database).

DOS at the Fermi energy = 2.4 states/eV/cell
Excess energy over the best structure of this formula in the dataset = 82 meV per atom
Raw formation energy = -195 meV per atom
Symmetry = P4/mmm
Electronic total energy = -16.9 eV for the cell shown

Cell lengths 4.628, 4.628, 4.580 Å; angles 90.00, 90.00, 90.00 degrees
Atoms (fractional coordinates):
1 Li 0.000 0.000 0.000
2 Bi 0.500 0.500 0.500
3 S 0.000 0.500 0.000
4 S 0.500 0.000 0.000
5 Cl 0.000 0.000 0.500



6.
# TeP2IO

A geometry-optimized TeP2IO structure (GGA-PBE, the Alexandria database).

DOS at the Fermi energy = 2.2 states/eV/cell
Excess energy over the best structure of this formula in the dataset = 274 meV per atom
Raw formation energy = 840 meV per atom
Symmetry = P4/mmm
Electronic total energy = -16.3 eV for the cell shown

Cell lengths 5.254, 5.254, 3.953 Å; angles 90.00, 90.00, 90.00 degrees
Atoms (fractional coordinates):
1 Te 0.000 0.000 0.000
2 P 0.000 0.500 0.500
3 P 0.500 0.000 0.500
4 I 0.500 0.500 0.500
5 O 0.500 0.500 0.000



7.
# AgRh

A geometry-optimized AgRh structure (GGA-PBE, the Alexandria database).

DOS at the Fermi energy = 8.9 states/eV/cell
Energy of formation from the pure elements = 1.34 eV per atom
Symmetry = P6_3/mmc
Electronic total energy = -15.1 eV for the cell shown

Cell lengths 4.459, 4.459, 5.281 Å; angles 90.00, 90.00, 120.00 degrees
Atoms (fractional coordinates):
1 Ag 0.333 0.667 0.250
2 Ag 0.667 0.333 0.750
3 Rh 0.333 0.667 0.750
4 Rh 0.667 0.333 0.250



8.
# LaOsPt

A geometry-optimized LaOsPt structure (GGA-PBE, the Alexandria database).

DOS at the Fermi energy = 23.2 states/eV/cell
Excess energy over the best structure of this formula in the dataset = 1125 meV per atom
Energy of formation from the pure elements = 0.81 eV per atom
Symmetry = F-43m
Electronic total energy = -79.1 eV for the cell shown

Cell lengths 6.563, 6.563, 6.563 Å; angles 90.00, 90.00, 90.00 degrees
Atoms (fractional coordinates):
1 La 0.000 0.000 0.000
2 La 0.000 0.500 0.500
3 La 0.500 0.000 0.500
4 La 0.500 0.500 0.000
5 Os 0.250 0.250 0.750
6 Os 0.250 0.750 0.250
7 Os 0.750 0.250 0.250
8 Os 0.750 0.750 0.750
9 Pt 0.250 0.250 0.250
10 Pt 0.250 0.750 0.750
11 Pt 0.750 0.250 0.750
12 Pt 0.750 0.750 0.250



9.
# Ca2HgRhC

A geometry-optimized Ca2HgRhC structure (GGA-PBE, the Alexandria database).

DOS at the Fermi energy = 2.1 states/eV/cell
Energy of formation from the pure elements = -0.33 eV per atom
Symmetry = P4/mmm
Electronic total energy = -22.5 eV for the cell shown

Cell lengths 5.192, 5.192, 3.885 Å; angles 90.00, 90.00, 90.00 degrees
Atoms (fractional coordinates):
1 Ca 0.000 0.500 0.000
2 Ca 0.500 0.000 0.000
3 Hg 0.000 0.000 0.500
4 Rh 0.500 0.500 0.500
5 C 0.500 0.500 0.000



10.
# Sm5P2S2

A geometry-optimized Sm5P2S2 structure (GGA-PBE, the Alexandria database).

DOS at the Fermi energy = 14.7 states/eV/cell
Raw formation energy = -1454 meV per atom
Symmetry = Cmce
Electronic total energy = -111.5 eV for the cell shown

Cell lengths 8.120, 8.120, 7.638 Å; angles 90.00, 90.00, 55.60 degrees
Atoms (fractional coordinates):
1 Sm 0.000 0.000 0.000
2 Sm 0.024 0.704 0.654
3 Sm 0.204 0.524 0.154
4 Sm 0.296 0.976 0.654
5 Sm 0.476 0.796 0.154
6 Sm 0.500 0.500 0.500
7 Sm 0.524 0.204 0.846
8 Sm 0.704 0.024 0.346
9 Sm 0.796 0.476 0.846
10 Sm 0.976 0.296 0.346
11 P 0.145 0.855 0.356
12 P 0.355 0.645 0.856
13 P 0.645 0.355 0.144
14 P 0.855 0.145 0.644
15 S 0.196 0.196 0.000
16 S 0.304 0.304 0.500
17 S 0.696 0.696 0.500
18 S 0.804 0.804 0.000



11.
# TmV2H

A geometry-optimized TmV2H structure (GGA-PBE, the Alexandria database).

DOS at the Fermi energy = 14.0 states/eV/cell
Symmetry = R-3m
Electronic total energy = -72.6 eV for the cell shown

Cell lengths 2.839, 2.839, 23.969 Å; angles 90.00, 90.00, 120.00 degrees
Atoms (fractional coordinates):
1 Tm 0.000 0.000 0.000
2 Tm 0.333 0.667 0.667
3 Tm 0.667 0.333 0.333
4 V 0.000 0.000 0.118
5 V 0.000 0.000 0.882
6 V 0.333 0.667 0.548
7 V 0.333 0.667 0.785
8 V 0.667 0.333 0.215
9 V 0.667 0.333 0.452
10 H 0.000 0.000 0.500
11 H 0.333 0.667 0.167
12 H 0.667 0.333 0.833



12.
# NdTm2MnN4

A geometry-optimized NdTm2MnN4 structure (GGA-PBE, the Alexandria database).

DOS at the Fermi energy = 6.9 states/eV/cell
Raw formation energy = -1251 meV per atom
Symmetry = Cmcm
Electronic total energy = -132.4 eV for the cell shown

Cell lengths 5.933, 5.933, 11.373 Å; angles 90.00, 90.00, 146.92 degrees
Atoms (fractional coordinates):
1 Nd 0.099 0.901 0.750
2 Nd 0.901 0.099 0.250
3 Tm 0.369 0.631 0.544
4 Tm 0.369 0.631 0.956
5 Tm 0.631 0.369 0.044
6 Tm 0.631 0.369 0.456
7 Mn 0.164 0.836 0.250
8 Mn 0.836 0.164 0.750
9 N 0.000 0.000 0.000
10 N 0.000 0.000 0.500
11 N 0.265 0.735 0.126
12 N 0.265 0.735 0.374
13 N 0.420 0.580 0.750
14 N 0.580 0.420 0.250
15 N 0.735 0.265 0.626
16 N 0.735 0.265 0.874